Entry P
The following is a PBE calculation of an optimized crystal structure of VReBr2, from Alexandria.

Cell: 4.350 4.350 16.117 Å, 90.00 90.00 90.00°
Space group I-42d (No. 122)
Asymmetric unit:
V 0.000 0.000 0.000
Re 0.000 0.000 0.500
Br 0.249 0.250 0.625

DOS(E_F) in states/eV/cell: 17.75
Total moment in μB/f.u.: 0.94

---

Entry Q
The following is a PBE calculation of an optimized crystal structure of VReBr2, from Alexandria.

Cell: 3.1044 3.1044 25.4738 Å, 90.00 90.00 120.00°
Space group R-3m (No. 166, hexagonal axes)
Asymmetric unit:
V 0.0000 0.0000 0.0000
Re 0.0000 0.0000 0.5000
Br 0.0000 0.0000 0.4034

DOS(E_F) in states/eV/cell: 12.70
Total moment in μB/f.u.: 1.48

---

It comes down to entry Q, which is 0.207 eV/atom more stable than the next structure.